# GdHo2Lu | the Alexandria database | PBE | relaxed
# DFT formation energy   0.029 eV per atom
# Calculated volume   123 Å³/cell
# Final energy   -6.911 eV/atom
# Size of the total moment   7.24 μB per formula unit
# Distance to the lowest polymorph of the same formula   0.0035 eV/atom
data_GdHo2Lu
_space_group_name_H-M_alt 'P 4/m m m'
_space_group_IT_number 123
_space_group_name_Hall '-P 4 2'
_cell_length_a 3.5151
_cell_length_b 3.5151
_cell_length_c 9.9938
_cell_angle_alpha 90.00
_cell_angle_beta 90.00
_cell_angle_gamma 90.00
loop_
_atom_site_label
_atom_site_type_symbol
_atom_site_fract_x
_atom_site_fract_y
_atom_site_fract_z
Gd1 Gd 0.0000 0.0000 0.0000
Ho1 Ho 0.5000 0.5000 0.2547
Lu1 Lu 0.0000 0.0000 0.5000